! V4Mo4W3, optimized geometry, DFT PBE; values from VASP
&SYSTEM
  ibrav = 0, nat = 11, ntyp = 3
/
ATOMIC_SPECIES
V 50.94 V.upf
Mo 95.94 Mo.upf
W 183.84 W.upf
ATOMIC_POSITIONS angstrom
V 0.004 0.000 3.119
V 0.016 0.000 9.286
V 2.201 0.000 7.787
V 2.213 0.000 13.954
Mo 0.002 0.000 6.266
Mo 0.021 0.000 15.464
Mo 2.196 0.000 1.609
Mo 2.215 0.000 10.807
W 0.000 0.000 0.000
W 0.012 0.000 12.392
W 2.204 0.000 4.681
CELL_PARAMETERS angstrom
2.198 -2.203 0.000
2.198 2.203 0.000
-2.180 0.000 17.073
! space-group type = C2/m (12)
! final energy = -10.890 eV per atom

=====

! V2Mo3W4, optimized geometry, DFT PBE; values from VASP
&SYSTEM
  ibrav = 0, nat = 18, ntyp = 3
/
ATOMIC_SPECIES
V 50.94 V.upf
Mo 95.94 Mo.upf
W 183.84 W.upf
ATOMIC_POSITIONS angstrom
V 2.254 3.348 4.688
V 3.539 3.348 7.305
V 2.958 -3.348 0.690
V 4.244 -3.348 3.307
Mo 3.601 3.403 1.999
Mo 1.578 1.152 5.970
Mo 2.283 -1.152 1.973
Mo 4.215 1.152 6.023
Mo 4.919 -1.152 2.025
Mo 2.897 -3.403 5.997
W 1.614 1.108 0.652
W 2.917 1.143 3.326
W 0.909 -1.108 4.650
W 4.285 1.143 0.672
W 2.212 -1.143 7.324
W 5.588 1.108 3.346
W 3.581 -1.143 4.669
W 4.884 -1.108 7.343
CELL_PARAMETERS angstrom
3.954 -4.486 0.000
3.954 4.486 0.000
-1.409 0.000 7.995
! space-group type = C2/c (15)
! final energy = -11.188 eV per atom

=====

! V2Mo5W5, optimized geometry, DFT PBE; values from VASP
&SYSTEM
  ibrav = 0, nat = 12, ntyp = 3
/
ATOMIC_SPECIES
V 50.94 V.upf
Mo 95.94 Mo.upf
W 183.84 W.upf
ATOMIC_POSITIONS angstrom
V 0.743 0.000 2.119
V 8.145 0.000 4.178
Mo 3.693 0.000 1.058
Mo 2.925 0.000 3.669
Mo 6.665 0.000 0.000
Mo 5.962 0.000 2.628
Mo 5.195 0.000 5.239
W -2.221 0.000 3.149
W -2.976 0.000 5.784
W 0.017 0.000 4.712
W 8.871 0.000 1.585
W 11.864 0.000 0.514
CELL_PARAMETERS angstrom
6.665 -2.226 0.000
6.665 2.226 0.000
-4.441 0.000 6.297
! space-group type = C2/m (12)
! final energy = -11.503 eV per atom

=====

! V4Mo2W, optimized geometry, DFT PBE; values from VASP
&SYSTEM
  ibrav = 0, nat = 14, ntyp = 3
/
ATOMIC_SPECIES
V 50.94 V.upf
Mo 95.94 Mo.upf
W 183.84 W.upf
ATOMIC_POSITIONS angstrom
V 2.008 2.461 2.276
V 3.969 6.025 5.475
V 2.935 2.001 4.754
V 3.264 4.921 1.586
V 5.725 2.087 4.827
V 6.054 5.008 1.660
V 5.021 0.983 0.938
V 6.982 4.547 4.138
Mo 0.990 0.279 3.207
Mo 2.608 0.000 0.000
Mo 3.598 0.279 3.207
Mo 4.495 3.504 3.207
W 4.136 3.655 6.278
W 4.853 3.353 0.136
CELL_PARAMETERS angstrom
5.216 0.000 0.000
1.793 6.450 0.000
1.980 0.558 6.414
! space-group type = P-1 (2)
! final energy = -9.782 eV per atom

=====

! V3MoW2, optimized geometry, DFT PBE; values from VASP
&SYSTEM
  ibrav = 0, nat = 12, ntyp = 3
/
ATOMIC_SPECIES
V 50.94 V.upf
Mo 95.94 Mo.upf
W 183.84 W.upf
ATOMIC_POSITIONS angstrom
V 0.000 2.123 0.000
V 0.000 6.458 0.000
V 0.014 2.142 3.097
V 0.014 6.440 3.097
V 2.232 2.142 1.550
V 2.232 6.440 1.550
Mo 0.007 0.000 1.554
Mo 2.239 0.000 3.092
W 0.007 4.291 1.548
W 2.225 0.000 0.000
W 2.225 4.291 0.000
W 2.239 4.291 3.099
CELL_PARAMETERS angstrom
4.450 0.000 0.000
0.000 8.581 0.000
-2.203 0.000 4.647
! space-group type = P2/m (10)
! final energy = -10.765 eV per atom

=====

! VMo3W6, optimized geometry, DFT PBE; values from VASP
&SYSTEM
  ibrav = 0, nat = 20, ntyp = 3
/
ATOMIC_SPECIES
V 50.94 V.upf
Mo 95.94 Mo.upf
W 183.84 W.upf
ATOMIC_POSITIONS angstrom
V 0.000 0.000 0.000
V 3.809 4.922 2.218
Mo 0.000 4.922 0.000
Mo 0.087 2.396 0.000
Mo 3.723 7.318 2.218
Mo 3.809 0.000 2.218
Mo 3.896 2.525 2.218
Mo 7.532 7.447 0.000
W 1.179 8.953 2.218
W 1.274 5.912 2.218
W 1.335 3.101 2.218
W 2.475 8.023 0.000
W 2.535 0.990 0.000
W 2.631 4.031 0.000
W 4.988 5.812 0.000
W 5.084 8.853 0.000
W 5.144 1.821 0.000
W 6.284 6.742 2.218
W 6.345 3.932 2.218
W 6.440 0.890 2.218
CELL_PARAMETERS angstrom
7.619 0.000 0.000
0.000 9.843 0.000
0.000 0.000 4.435
! space-group type = Pnnm (58)
! final energy = -11.465 eV per atom

=====

! V4MoW, optimized geometry, DFT PBE; values from VASP
&SYSTEM
  ibrav = 0, nat = 6, ntyp = 3
/
ATOMIC_SPECIES
V 50.94 V.upf
Mo 95.94 Mo.upf
W 183.84 W.upf
ATOMIC_POSITIONS angstrom
V 0.875 0.875 0.875
V 2.626 2.626 0.875
V 2.626 0.875 2.626
V 0.875 2.626 2.626
Mo 5.252 5.252 5.252
W 3.501 3.501 3.501
CELL_PARAMETERS angstrom
0.000 3.501 3.501
3.501 0.000 3.501
3.501 3.501 0.000
! space-group type = F-43m (216)
! final energy = -10.064 eV per atom

=====

! VMo3W6, optimized geometry, DFT PBE; values from VASP
&SYSTEM
  ibrav = 0, nat = 20, ntyp = 3
/
ATOMIC_SPECIES
V 50.94 V.upf
Mo 95.94 Mo.upf
W 183.84 W.upf
ATOMIC_POSITIONS angstrom
V -0.451 0.774 2.695
V 5.445 2.321 8.567
Mo -1.964 0.774 6.719
Mo -0.966 2.321 11.129
Mo 2.176 0.774 4.526
Mo 2.818 2.321 6.736
Mo 5.960 0.774 0.133
Mo 6.959 2.321 4.543
W -3.362 0.774 11.051
W -1.439 2.321 8.747
W 0.062 2.321 4.987
W 1.526 2.321 2.212
W 0.640 0.774 7.209
W 3.788 0.774 1.941
W 1.206 2.321 9.321
W 4.354 2.321 4.053
W 3.469 0.774 9.050
W 4.932 0.774 6.274
W 6.433 0.774 2.515
W 8.357 2.321 0.211
CELL_PARAMETERS angstrom
9.464 0.000 0.000
0.000 3.095 0.000
-4.470 0.000 11.262
! space-group type = P2_1/m (11)
! final energy = -11.543 eV per atom

=====

! V3Mo3W, optimized geometry, DFT PBE; values from VASP
&SYSTEM
  ibrav = 0, nat = 14, ntyp = 3
/
ATOMIC_SPECIES
V 50.94 V.upf
Mo 95.94 Mo.upf
W 183.84 W.upf
ATOMIC_POSITIONS angstrom
V 0.185 1.094 0.759
V -1.218 3.282 4.273
V 0.892 1.094 3.756
V 3.042 3.282 3.283
V 5.152 1.094 2.765
V 3.749 3.282 6.280
Mo -0.884 1.094 5.756
Mo 2.284 3.282 0.251
Mo 2.658 1.094 1.792
Mo 1.276 3.282 5.247
Mo 1.650 1.094 6.787
Mo 4.818 3.282 1.283
W 0.514 3.282 2.271
W 3.420 1.094 4.768
CELL_PARAMETERS angstrom
6.749 0.000 0.000
0.000 4.376 0.000
-2.815 0.000 7.039
! space-group type = P2_1/m (11)
! final energy = -10.510 eV per atom

=====

! V2Mo5W4, optimized geometry, DFT PBE; values from VASP
&SYSTEM
  ibrav = 0, nat = 11, ntyp = 3
/
ATOMIC_SPECIES
V 50.94 V.upf
Mo 95.94 Mo.upf
W 183.84 W.upf
ATOMIC_POSITIONS angstrom
V 0.000 0.000 2.152
V 0.000 0.000 21.379
Mo 1.450 0.000 0.000
Mo 1.450 -1.560 7.843
Mo 0.000 1.543 3.922
Mo 1.450 1.560 7.843
Mo 0.000 4.663 3.922
W 0.000 0.000 6.035
W 0.000 1.968 0.000
W 0.000 4.238 0.000
W 0.000 0.000 17.497
CELL_PARAMETERS angstrom
-1.450 3.103 11.766
1.450 -3.103 11.766
1.450 3.103 -11.766
! space-group type = Immm (71)
! final energy = -9.939 eV per atom

=====

! VMo6W, optimized geometry, DFT PBE; values from VASP
&SYSTEM
  ibrav = 0, nat = 8, ntyp = 3
/
ATOMIC_SPECIES
V 50.94 V.upf
Mo 95.94 Mo.upf
W 183.84 W.upf
ATOMIC_POSITIONS angstrom
V 0.000 0.000 0.000
Mo -0.004 1.242 2.513
Mo -0.004 3.783 2.513
Mo 1.245 2.513 0.001
Mo 2.509 0.000 1.244
Mo 2.509 0.000 3.782
Mo 3.773 2.513 5.026
W 2.509 2.513 2.513
CELL_PARAMETERS angstrom
5.026 0.000 0.000
0.000 5.025 0.000
-0.008 0.000 5.026
! space-group type = P2/m (10)
! final energy = -10.839 eV per atom

=====

! V2MoW, optimized geometry, DFT PBE; values from VASP
&SYSTEM
  ibrav = 0, nat = 4, ntyp = 3
/
ATOMIC_SPECIES
V 50.94 V.upf
Mo 95.94 Mo.upf
W 183.84 W.upf
ATOMIC_POSITIONS angstrom
V 1.540 1.540 1.540
V 4.620 4.620 4.620
Mo 0.000 0.000 0.000
W 3.080 3.080 3.080
CELL_PARAMETERS angstrom
0.000 3.080 3.080
3.080 0.000 3.080
3.080 3.080 0.000
! space-group type = Fm-3m (225)
! final energy = -10.615 eV per atom

=====

no.,energy relative to the elements (meV/atom)
1,-103
2,206
3,-73
4,374
5,-83
6,468
7,-21
8,390
9,-110
10,1353
11,44
12,-109